First-principles (PBE-GGA) data for a relaxed structure of K2Li, as listed in Alexandria via LeMat-Bulk.

## Properties
Density in g/cm³: 0.87
Total magnetization in μB/cell: 0.00
Space-group type: I4/mmm, No. 139
Polymorph energy (0 for the lowest one) in meV per atom: 20

Lattice parameters (Å, degrees): 8.652 8.652 8.652 149.94 149.94 43.03
Fractional positions:
K: 0.141 0.141 0.000
K: 0.859 0.859 0.000
Li: 0.500 0.500 0.000

***

First-principles (PBE-GGA) data for a relaxed structure of YBePt3, as listed in Alexandria via LeMat-Bulk.

## Properties
Density in g/cm³: 13.28
Total magnetization in μB/cell: 0.00
Space-group type: C2/c, No. 15
Polymorph energy (0 for the lowest one) in meV per atom: 187

Lattice parameters (Å, degrees): 7.742 7.742 5.799 96.84 96.84 93.20
Fractional positions:
Y: 0.012 0.269 0.160
Y: 0.269 0.012 0.660
Y: 0.731 0.988 0.340
Y: 0.988 0.731 0.840
Be: 0.283 0.717 0.250
Be: 0.497 0.503 0.250
Be: 0.503 0.497 0.750
Be: 0.717 0.283 0.750
Pt: 0.003 0.743 0.335
Pt: 0.227 0.506 0.509
Pt: 0.254 0.476 0.972
Pt: 0.257 0.997 0.165
Pt: 0.476 0.254 0.472
Pt: 0.494 0.773 0.991
Pt: 0.506 0.227 0.009
Pt: 0.524 0.746 0.528
Pt: 0.743 0.003 0.835
Pt: 0.746 0.524 0.028
Pt: 0.773 0.494 0.491
Pt: 0.997 0.257 0.665

***

First-principles (PBE-GGA) data for a relaxed structure of Ta2HgW, as listed in Alexandria via LeMat-Bulk.

## Properties
DFT total energy in eV per atom: -8.3068
Density in g/cm³: 15.56
Total magnetization in μB/cell: 0.00
Space-group type: I-42d, No. 122

Lattice parameters (Å, degrees): 6.014 6.014 6.014 102.74 102.74 123.97
Fractional positions:
Ta: 0.100 0.625 0.975
Ta: 0.375 0.350 0.475
Ta: 0.650 0.125 0.025
Ta: 0.875 0.900 0.525
Hg: 0.250 0.750 0.500
Hg: 0.500 0.500 0.000
W: 0.000 0.000 0.000
W: 0.750 0.250 0.500

***

First-principles (PBE-GGA) data for a relaxed structure of K2SrBe, as listed in Alexandria via LeMat-Bulk.

## Properties
DFT total energy in eV per atom: -1.4203
Density in g/cm³: 1.46
Total magnetization in μB/cell: 0.00
Space-group type: Immm, No. 71

Lattice parameters (Å, degrees): 10.531 10.531 10.531 158.15 152.82 35.14
Fractional positions:
K: 0.158 0.158 0.000
K: 0.842 0.842 0.000
Sr: 0.500 0.000 0.500
Be: 0.000 0.500 0.500

***

First-principles (PBE-GGA) data for a relaxed structure of CaAsRu2, as listed in Alexandria via LeMat-Bulk.

## Properties
DFT total energy in eV per atom: -6.1616
Density in g/cm³: 6.74
Total magnetization in μB/cell: 0.00
Space-group type: I-42d, No. 122

Lattice parameters (Å, degrees): 5.959 5.959 5.959 103.32 103.32 122.64
Fractional positions:
Ca: 0.000 0.000 0.000
Ca: 0.750 0.250 0.500
As: 0.250 0.750 0.500
As: 0.500 0.500 0.000
Ru: 0.207 0.125 0.582
Ru: 0.375 0.793 0.918
Ru: 0.543 0.625 0.418
Ru: 0.875 0.457 0.082

***

First-principles (PBE-GGA) data for a relaxed structure of Cs8Hg3O, as listed in Alexandria via LeMat-Bulk.

## Properties
Density in g/cm³: 3.41
Total magnetization in μB/cell: 0.00
Space-group type: C222, No. 21
E_form (uncorrected) in eV per atom: -0.33

Lattice parameters (Å, degrees): 8.816 8.816 11.006 90.00 90.00 106.69
Fractional positions:
Cs: 0.187 0.211 0.809
Cs: 0.208 0.792 0.000
Cs: 0.211 0.187 0.191
Cs: 0.289 0.711 0.500
Cs: 0.711 0.289 0.500
Cs: 0.789 0.813 0.191
Cs: 0.792 0.208 0.000
Cs: 0.813 0.789 0.809
Hg: 0.000 0.000 0.500
Hg: 0.000 0.500 0.254
Hg: 0.500 0.000 0.746
O: 0.000 0.000 0.000

***

First-principles (PBE-GGA) data for a relaxed structure of CeTm2ZrN4, as listed in Alexandria via LeMat-Bulk.

## Properties
Density in g/cm³: 9.30
Total magnetization in μB/cell: 0.00
Space-group type: P2/m, No. 10
E_form (uncorrected) in eV per atom: -1.69

Lattice parameters (Å, degrees): 5.878 3.400 5.913 90.00 109.23 90.00
Fractional positions:
Ce: 0.000 0.000 0.000
Tm: 0.500 0.000 0.500
Tm: 0.500 0.500 0.000
Zr: 0.000 0.500 0.500
N: 0.244 0.000 0.740
N: 0.251 0.500 0.262
N: 0.749 0.500 0.738
N: 0.756 0.000 0.260

***

First-principles (PBE-GGA) data for a relaxed structure of ErTiSi2Tc, as listed in Alexandria via LeMat-Bulk.

## Properties
Density in g/cm³: 7.15
Total magnetization in μB/cell: 0.00
Space-group type: I-4m2, No. 119
E_form (uncorrected) in eV per atom: -0.76

Lattice parameters (Å, degrees): 6.226 6.226 6.226 143.29 143.29 52.89
Fractional positions:
Er: 0.000 0.000 0.000
Ti: 0.750 0.250 0.500
Si: 0.394 0.394 0.000
Si: 0.606 0.606 0.000
Tc: 0.250 0.750 0.500

***

First-principles (PBE-GGA) data for a relaxed structure of CaAc2HfO6, as listed in Alexandria via LeMat-Bulk.

## Properties
Density in g/cm³: 8.28
Total magnetization in μB/cell: 0.00
Space-group type: P2_1/c, No. 14
E_form (uncorrected) in eV per atom: -3.40

Lattice parameters (Å, degrees): 5.938 6.113 10.365 90.00 124.96 90.00
Fractional positions:
Ca: 0.000 0.000 0.000
Ca: 0.000 0.500 0.500
Ac: 0.261 0.048 0.748
Ac: 0.261 0.452 0.248
Ac: 0.739 0.548 0.752
Ac: 0.739 0.952 0.252
Hf: 0.500 0.000 0.500
Hf: 0.500 0.500 0.000
O: 0.159 0.044 0.266
O: 0.159 0.456 0.766
O: 0.267 0.688 0.052
O: 0.267 0.812 0.552
O: 0.376 0.217 0.062
O: 0.376 0.283 0.562
O: 0.624 0.717 0.438
O: 0.624 0.783 0.938
O: 0.733 0.188 0.448
O: 0.733 0.312 0.948
O: 0.841 0.544 0.234
O: 0.841 0.956 0.734

***

First-principles (PBE-GGA) data for a relaxed structure of BeSiAu, as listed in Alexandria via LeMat-Bulk.

## Properties
Density in g/cm³: 8.14
Total magnetization in μB/cell: 0.00
Space-group type: P-1, No. 2
Polymorph energy (0 for the lowest one) in meV per atom: 1
E_form (uncorrected) in eV per atom: -0.02

Lattice parameters (Å, degrees): 4.124 4.160 6.486 95.88 92.86 119.70
Fractional positions:
Be: 0.228 0.409 0.340
Be: 0.772 0.591 0.660
Si: 0.471 0.957 0.814
Si: 0.529 0.043 0.186
Au: 0.117 0.268 0.704
Au: 0.883 0.732 0.296

***

First-principles (PBE-GGA) data for a relaxed structure of Si3Se, as listed in Alexandria via LeMat-Bulk.

## Properties
Density in g/cm³: 4.03
Total magnetization in μB/cell: 0.00
Space-group type: Pm-3m, No. 221
E_form (uncorrected) in eV per atom: 0.67

Lattice parameters (Å, degrees): 4.068 4.068 4.068 90.00 90.00 90.00
Fractional positions:
Si: 0.000 0.000 0.500
Si: 0.000 0.500 0.000
Si: 0.500 0.000 0.000
Se: 0.500 0.500 0.500

***

First-principles (PBE-GGA) data for a relaxed structure of LiY2Ta, as listed in Alexandria via LeMat-Bulk.

## Properties
Density in g/cm³: 6.05
Total magnetization in μB/cell: 0.00
Space-group type: P4/mmm, No. 123
Polymorph energy (0 for the lowest one) in meV per atom: 0

Lattice parameters (Å, degrees): 3.324 3.324 9.091 90.00 90.00 90.00
Fractional positions:
Li: 0.000 0.000 0.000
Y: 0.500 0.500 0.267
Y: 0.500 0.500 0.733
Ta: 0.000 0.000 0.500

***

First-principles (PBE-GGA) data for a relaxed structure of AcNd2NpO8, as listed in Alexandria via LeMat-Bulk.

## Properties
Density in g/cm³: 8.22
Total magnetization in μB/cell: 0.00
Space-group type: P2/m, No. 10
E_form (uncorrected) in eV per atom: -3.11

Lattice parameters (Å, degrees): 4.107 7.751 5.612 90.00 95.30 90.00
Fractional positions:
Ac: 0.000 0.000 0.000
Nd: 0.500 0.248 0.500
Nd: 0.500 0.752 0.500
Np: 0.000 0.500 0.000
O: 0.040 0.292 0.766
O: 0.040 0.708 0.766
O: 0.431 0.500 0.213
O: 0.486 0.000 0.737
O: 0.514 0.000 0.263
O: 0.569 0.500 0.787
O: 0.960 0.292 0.234
O: 0.960 0.708 0.234

***

First-principles (PBE-GGA) data for a relaxed structure of SmZnCd2, as listed in Alexandria via LeMat-Bulk.

## Properties
DFT total energy in eV per atom: -2.0962
Density in g/cm³: 7.93
Total magnetization in μB/cell: 0.14
Space-group type: P4/mmm, No. 123

Lattice parameters (Å, degrees): 3.509 3.509 7.496 90.00 90.00 90.00
Fractional positions:
Sm: 0.000 0.000 0.000
Zn: 0.000 0.000 0.500
Cd: 0.500 0.500 0.288
Cd: 0.500 0.500 0.712

***

First-principles (PBE-GGA) data for a relaxed structure of USb2Pd4, as listed in Alexandria via LeMat-Bulk.

## Properties
Density in g/cm³: 8.36
Total magnetization in μB/cell: 1.64
Space-group type: I4/mmm, No. 139
E_form (uncorrected) in eV per atom: 0.31

Lattice parameters (Å, degrees): 7.680 7.680 7.680 140.71 140.71 56.77
Fractional positions:
U: 0.000 0.000 0.000
Sb: 0.386 0.386 0.000
Sb: 0.614 0.614 0.000
Pd: 0.000 0.500 0.500
Pd: 0.182 0.182 0.000
Pd: 0.500 0.000 0.500
Pd: 0.818 0.818 0.000

***

First-principles (PBE-GGA) data for a relaxed structure of Nd5InRh2, as listed in Alexandria via LeMat-Bulk.

## Properties
DFT total energy in eV per atom: -5.6821
Density in g/cm³: 7.70
Total magnetization in μB/cell: 0.00
Space-group type: I4/mcm, No. 140

Lattice parameters (Å, degrees): 9.003 9.003 9.003 127.14 127.14 78.02
Fractional positions:
Nd: 0.000 0.000 0.000
Nd: 0.028 0.528 0.825
Nd: 0.203 0.028 0.500
Nd: 0.297 0.797 0.825
Nd: 0.472 0.297 0.500
Nd: 0.500 0.500 0.000
Nd: 0.528 0.703 0.500
Nd: 0.703 0.203 0.175
Nd: 0.797 0.972 0.500
Nd: 0.972 0.472 0.175
In: 0.250 0.250 0.000
In: 0.750 0.750 0.000
Rh: 0.137 0.363 0.500
Rh: 0.363 0.863 0.227
Rh: 0.637 0.137 0.773
Rh: 0.863 0.637 0.500

***

First-principles (PBE-GGA) data for a relaxed structure of Cu2TeSe, as listed in Alexandria via LeMat-Bulk.

## Properties
Density in g/cm³: 7.15
Total magnetization in μB/cell: 0.00
Space-group type: R3m, No. 160
Polymorph energy (0 for the lowest one) in meV per atom: 128
E_form (uncorrected) in eV per atom: 0.05

Lattice parameters (Å, degrees): 6.476 6.476 6.476 34.43 34.43 34.43
Fractional positions:
Cu: 0.000 0.000 0.000
Cu: 0.147 0.147 0.147
Te: 0.576 0.576 0.576
Se: 0.402 0.402 0.402

***

First-principles (PBE-GGA) data for a relaxed structure of TbHfPt6, as listed in Alexandria via LeMat-Bulk.

## Properties
DFT total energy in eV per atom: -7.4414
Density in g/cm³: 18.43
Total magnetization in μB/cell: 0.00
Space-group type: P4/mmm, No. 123

Lattice parameters (Å, degrees): 4.080 4.080 8.161 90.00 90.00 90.00
Fractional positions:
Tb: 0.000 0.000 0.000
Hf: 0.000 0.000 0.500
Pt: 0.000 0.500 0.260
Pt: 0.000 0.500 0.740
Pt: 0.500 0.000 0.260
Pt: 0.500 0.000 0.740
Pt: 0.500 0.500 0.000
Pt: 0.500 0.500 0.500

***

First-principles (PBE-GGA) data for a relaxed structure of La2InRuN, as listed in Alexandria via LeMat-Bulk.

## Properties
Density in g/cm³: 7.49
Total magnetization in μB/cell: 0.00
Space-group type: P4/mmm, No. 123
E_form (uncorrected) in eV per atom: -0.62

Lattice parameters (Å, degrees): 5.340 5.340 3.946 90.00 90.00 90.00
Fractional positions:
La: 0.000 0.500 0.000
La: 0.500 0.000 0.000
In: 0.000 0.000 0.500
Ru: 0.500 0.500 0.500
N: 0.500 0.500 0.000

***

First-principles (PBE-GGA) data for a relaxed structure of TbPu2Ru2, as listed in Alexandria via LeMat-Bulk.

## Properties
Density in g/cm³: 12.34
Total magnetization in μB/cell: 18.60
Space-group type: P-1, No. 2
Polymorph energy (0 for the lowest one) in meV per atom: 0

Lattice parameters (Å, degrees): 4.435 7.734 7.964 117.82 90.01 106.65
Fractional positions:
Tb: 0.068 0.136 0.378
Tb: 0.932 0.864 0.622
Pu: 0.270 0.541 0.273
Pu: 0.410 0.820 0.044
Pu: 0.590 0.180 0.956
Pu: 0.730 0.459 0.727
Ru: 0.174 0.347 0.848
Ru: 0.311 0.622 0.649
Ru: 0.689 0.378 0.351
Ru: 0.826 0.653 0.152